(1)
# TlGeAu (PBE, optimized geometry)
# formation energy from the elements: 0.048 eV/atom
data_TlGeAu
_space_group_name_H-M_alt 'P n m a'
_space_group_IT_number 62
_cell_length_a 7.897
_cell_length_b 4.438
_cell_length_c 7.932
_cell_angle_alpha 90.00
_cell_angle_beta 90.00
_cell_angle_gamma 90.00
loop_
_space_group_symop_operation_xyz
'x,y,z'
'-x,-y,-z'
'-x+1/2,-y,z+1/2'
'x+1/2,y,-z+1/2'
'x+1/2,-y+1/2,-z+1/2'
'-x+1/2,y+1/2,z+1/2'
'-x,y+1/2,-z'
'x,-y+1/2,z'
loop_
_atom_site_label
_atom_site_type_symbol
_atom_site_fract_x
_atom_site_fract_y
_atom_site_fract_z
Tl1 Tl 0.014 0.250 0.168
Ge1 Ge 0.144 0.250 0.582
Au1 Au 0.200 0.750 0.395

=====

(2)
# LaBeFe2 (PBE, optimized geometry)
# formation energy from the elements: 0.363 eV/atom
data_LaBeFe2
_space_group_name_H-M_alt 'I 41/a m d'
_space_group_IT_number 141
_cell_length_a 4.314
_cell_length_b 4.314
_cell_length_c 15.554
_cell_angle_alpha 90.00
_cell_angle_beta 90.00
_cell_angle_gamma 90.00
loop_
_space_group_symop_operation_xyz
'x,y,z'
'-x,-y,-z'
'-y+1/4,x+3/4,z+1/4'
'y+1/4,-x+3/4,-z+1/4'
'-x+1/2,-y,z+1/2'
'x+1/2,y,-z+1/2'
'y+1/4,-x+1/4,z+3/4'
'-y+1/4,x+1/4,-z+3/4'
'x,-y,-z'
'-x,y,z'
'-y+1/4,-x+1/4,-z+3/4'
'y+1/4,x+1/4,z+3/4'
'-x+1/2,y,-z+1/2'
'x+1/2,-y,z+1/2'
'y+1/4,x+3/4,-z+1/4'
'-y+1/4,-x+3/4,z+1/4'
'x+1/2,y+1/2,z+1/2'
'-x+1/2,-y+1/2,-z+1/2'
'-y+3/4,x+1/4,z+3/4'
'y+3/4,-x+1/4,-z+3/4'
'-x,-y+1/2,z'
'x,y+1/2,-z'
'y+3/4,-x+3/4,z+1/4'
'-y+3/4,x+3/4,-z+1/4'
'x+1/2,-y+1/2,-z+1/2'
'-x+1/2,y+1/2,z+1/2'
'-y+3/4,-x+3/4,-z+1/4'
'y+3/4,x+3/4,z+1/4'
'-x,y+1/2,-z'
'x,-y+1/2,z'
'y+3/4,x+1/4,-z+3/4'
'-y+3/4,-x+1/4,z+3/4'
loop_
_atom_site_label
_atom_site_type_symbol
_atom_site_fract_x
_atom_site_fract_y
_atom_site_fract_z
La1 La 0.000 0.250 0.375
Be1 Be 0.000 0.250 0.875
Fe1 Fe 0.000 0.000 0.000

=====

(3)
# TcHg2Rh (PBE, optimized geometry)
# energy relative to the lowest polymorph listed for this composition: 0.340 eV per atom
# formation energy from the elements: 0.526 eV/atom
data_TcHg2Rh
_space_group_name_H-M_alt 'P 4/m m m'
_space_group_IT_number 123
_space_group_name_Hall '-P 4 2'
_cell_length_a 3.057
_cell_length_b 3.057
_cell_length_c 7.548
_cell_angle_alpha 90.00
_cell_angle_beta 90.00
_cell_angle_gamma 90.00
loop_
_atom_site_label
_atom_site_type_symbol
_atom_site_fract_x
_atom_site_fract_y
_atom_site_fract_z
Tc1 Tc 0.000 0.000 0.000
Hg1 Hg 0.500 0.500 0.257
Rh1 Rh 0.000 0.000 0.500

=====

(4)
# NbCrGe (PBE, optimized geometry)
# formation energy from the elements: -0.059 eV/atom
data_NbCrGe
_space_group_name_H-M_alt 'I 4 m m'
_space_group_IT_number 107
_space_group_name_Hall 'I 4 -2'
_cell_length_a 3.230
_cell_length_b 3.230
_cell_length_c 8.603
_cell_angle_alpha 90.00
_cell_angle_beta 90.00
_cell_angle_gamma 90.00
loop_
_atom_site_label
_atom_site_type_symbol
_atom_site_fract_x
_atom_site_fract_y
_atom_site_fract_z
Nb1 Nb 0.000 0.000 0.000
Cr1 Cr 0.000 0.000 0.337
Ge1 Ge 0.000 0.000 0.682

=====

(5)
# ReHI3 (PBE, optimized geometry)
# energy relative to the lowest polymorph listed for this composition: 0.000 eV per atom
data_ReHI3
_space_group_name_H-M_alt 'P m -3 m'
_space_group_IT_number 221
_space_group_name_Hall '-P 4 2 3'
_cell_length_a 5.587
_cell_length_b 5.587
_cell_length_c 5.587
_cell_angle_alpha 90.00
_cell_angle_beta 90.00
_cell_angle_gamma 90.00
loop_
_atom_site_label
_atom_site_type_symbol
_atom_site_fract_x
_atom_site_fract_y
_atom_site_fract_z
Re1 Re 0.000 0.000 0.000
H1 H 0.500 0.500 0.500
I1 I 0.000 0.000 0.500

=====

(6)
# CsPb4Au (PBE, optimized geometry)
# formation energy from the elements: -0.085 eV/atom
data_CsPb4Au
_space_group_name_H-M_alt 'C m c m'
_space_group_IT_number 63
_space_group_name_Hall '-C 2c 2'
_cell_length_a 4.954
_cell_length_b 19.638
_cell_length_c 8.082
_cell_angle_alpha 90.00
_cell_angle_beta 90.00
_cell_angle_gamma 90.00
loop_
_atom_site_label
_atom_site_type_symbol
_atom_site_fract_x
_atom_site_fract_y
_atom_site_fract_z
Cs1 Cs 0.000 0.123 0.250
Pb1 Pb 0.000 0.066 0.750
Pb2 Pb 0.000 0.316 0.050
Pb3 Pb 0.000 0.500 0.000
Au1 Au 0.000 0.219 0.750

=====

(7)
# SiN3F7 (PBE, optimized geometry)
# raw formation energy: -20 meV per atom
data_SiN3F7
_space_group_name_H-M_alt 'P 4/m b m'
_space_group_IT_number 127
_space_group_name_Hall '-P 4 2ab'
_cell_length_a 8.579
_cell_length_b 8.579
_cell_length_c 4.280
_cell_angle_alpha 90.00
_cell_angle_beta 90.00
_cell_angle_gamma 90.00
loop_
_atom_site_label
_atom_site_type_symbol
_atom_site_fract_x
_atom_site_fract_y
_atom_site_fract_z
Si1 Si 0.000 0.500 0.000
N1 N 0.000 0.000 0.000
N2 N 0.184 0.316 0.500
F1 F 0.000 0.000 0.500
F2 F 0.103 0.603 0.254
F3 F 0.152 0.348 0.000

=====

(8)
# SiBi (PBE, optimized geometry)
# raw formation energy: 548 meV per atom
data_SiBi
_space_group_name_H-M_alt 'P 4 m m'
_space_group_IT_number 99
_cell_length_a 4.153
_cell_length_b 4.153
_cell_length_c 3.038
_cell_angle_alpha 90.00
_cell_angle_beta 90.00
_cell_angle_gamma 90.00
loop_
_space_group_symop_operation_xyz
'x,y,z'
'-y,x,z'
'-x,-y,z'
'y,-x,z'
'-x,y,z'
'y,x,z'
'x,-y,z'
'-y,-x,z'
loop_
_atom_site_label
_atom_site_type_symbol
_atom_site_fract_x
_atom_site_fract_y
_atom_site_fract_z
Si1 Si 0.000 0.000 0.000
Bi1 Bi 0.500 0.500 0.996

=====

(9)
# ScSnSe3 (PBE, optimized geometry)
# raw formation energy: -610 meV per atom
# energy relative to the lowest polymorph listed for this composition: 0.385 eV per atom
data_ScSnSe3
_space_group_name_H-M_alt 'P m -3 m'
_space_group_IT_number 221
_space_group_name_Hall '-P 4 2 3'
_cell_length_a 5.160
_cell_length_b 5.160
_cell_length_c 5.160
_cell_angle_alpha 90.00
_cell_angle_beta 90.00
_cell_angle_gamma 90.00
loop_
_atom_site_label
_atom_site_type_symbol
_atom_site_fract_x
_atom_site_fract_y
_atom_site_fract_z
Sc1 Sc 0.000 0.000 0.000
Sn1 Sn 0.500 0.500 0.500
Se1 Se 0.000 0.000 0.500

=====

(10)
# Y5Tl2Pb (PBE, optimized geometry)
# formation energy from the elements: -0.403 eV/atom
data_Y5Tl2Pb
_space_group_name_H-M_alt 'I 4/m c m'
_space_group_IT_number 140
_space_group_name_Hall '-I 4 2c'
_cell_length_a 8.181
_cell_length_b 8.181
_cell_length_c 14.052
_cell_angle_alpha 90.00
_cell_angle_beta 90.00
_cell_angle_gamma 90.00
loop_
_atom_site_label
_atom_site_type_symbol
_atom_site_fract_x
_atom_site_fract_y
_atom_site_fract_z
Y1 Y 0.000 0.000 0.000
Y2 Y 0.157 0.343 0.151
Tl1 Tl 0.139 0.361 0.500
Pb1 Pb 0.000 0.000 0.250

=====

(11)
# CdCu (PBE, optimized geometry)
# formation energy from the elements: 0.090 eV/atom
data_CdCu
_space_group_name_H-M_alt 'I 41/a m d'
_space_group_IT_number 141
_cell_length_a 3.987
_cell_length_b 3.987
_cell_length_c 8.288
_cell_angle_alpha 90.00
_cell_angle_beta 90.00
_cell_angle_gamma 90.00
loop_
_space_group_symop_operation_xyz
'x,y,z'
'-x,-y,-z'
'-y+1/4,x+3/4,z+1/4'
'y+1/4,-x+3/4,-z+1/4'
'-x+1/2,-y,z+1/2'
'x+1/2,y,-z+1/2'
'y+1/4,-x+1/4,z+3/4'
'-y+1/4,x+1/4,-z+3/4'
'x,-y,-z'
'-x,y,z'
'-y+1/4,-x+1/4,-z+3/4'
'y+1/4,x+1/4,z+3/4'
'-x+1/2,y,-z+1/2'
'x+1/2,-y,z+1/2'
'y+1/4,x+3/4,-z+1/4'
'-y+1/4,-x+3/4,z+1/4'
'x+1/2,y+1/2,z+1/2'
'-x+1/2,-y+1/2,-z+1/2'
'-y+3/4,x+1/4,z+3/4'
'y+3/4,-x+1/4,-z+3/4'
'-x,-y+1/2,z'
'x,y+1/2,-z'
'y+3/4,-x+3/4,z+1/4'
'-y+3/4,x+3/4,-z+1/4'
'x+1/2,-y+1/2,-z+1/2'
'-x+1/2,y+1/2,z+1/2'
'-y+3/4,-x+3/4,-z+1/4'
'y+3/4,x+3/4,z+1/4'
'-x,y+1/2,-z'
'x,-y+1/2,z'
'y+3/4,x+1/4,-z+3/4'
'-y+3/4,-x+1/4,z+3/4'
loop_
_atom_site_label
_atom_site_type_symbol
_atom_site_fract_x
_atom_site_fract_y
_atom_site_fract_z
Cd1 Cd 0.000 0.250 0.375
Cu1 Cu 0.000 0.250 0.875

=====

(12)
# Tb6Y2Ho3Sc (PBE, optimized geometry)
# formation energy from the elements: 0.027 eV/atom
data_Tb6Y2Ho3Sc
_space_group_name_H-M_alt 'C 1 2/m 1'
_space_group_IT_number 12
_cell_length_a 6.117
_cell_length_b 10.586
_cell_length_c 11.673
_cell_angle_alpha 90.00
_cell_angle_beta 100.01
_cell_angle_gamma 90.00
loop_
_space_group_symop_operation_xyz
'x,y,z'
'-x,-y,-z'
'-x,y,-z'
'x,-y,z'
'x+1/2,y+1/2,z'
'-x+1/2,-y+1/2,-z'
'-x+1/2,y+1/2,-z'
'x+1/2,-y+1/2,z'
loop_
_atom_site_label
_atom_site_type_symbol
_atom_site_fract_x
_atom_site_fract_y
_atom_site_fract_z
Tb1 Tb 0.248 0.000 0.251
Tb2 Tb 0.248 0.165 0.749
Y1 Y 0.000 0.333 0.500
Ho1 Ho 0.000 0.166 0.000
Ho2 Ho 0.000 0.500 0.000
Sc1 Sc 0.000 0.000 0.500